Entry P
A plane-wave DFT calculation with GGA-PBE was carried out for a geometry-optimized Tb3HoOs structure.

Computed properties:
D(E_F)	5.65	states/eV/f.u.
spin magnetization	0.00	μB per formula unit

Cell: 7.7083 6.4436 6.2463 Å, 90.00 90.00 90.00°
Fractional coordinates of all 10 atoms:
Tb: 0.0000 0.1583 0.0000
Tb: 0.2498 0.3183 0.5026
Tb: 0.2502 0.6817 0.0026
Tb: 0.5000 0.8417 0.5000
Tb: 0.7502 0.3183 0.5026
Tb: 0.7498 0.6817 0.0026
Ho: 0.0000 0.8403 0.5058
Ho: 0.5000 0.1597 0.0058
Os: 0.0000 0.5011 0.2530
Os: 0.5000 0.4989 0.7530

Entry Q
A plane-wave DFT calculation with GGA-PBE was carried out for a geometry-optimized Tb3HoOs structure.

Computed properties:
D(E_F)	6.77	states/eV/f.u.
spin magnetization	0.00	μB per formula unit

Cell: 5.4408 5.4408 5.4408 Å, 90.00 90.00 90.00°
Fractional coordinates of all 5 atoms:
Tb: 0.0000 0.0000 0.5000
Tb: 0.0000 0.5000 0.0000
Tb: 0.5000 0.0000 0.0000
Ho: 0.5000 0.5000 0.5000
Os: 0.0000 0.0000 0.0000

entry P takes first place; second place is 110 meV per atom up.

Entry P
A plane-wave DFT calculation with GGA-PBE was carried out for a geometry-optimized Tb2HoOs structure.

Computed properties:
D(E_F)	3.90	states/eV/f.u.
spin magnetization	0.00	μB per formula unit

Cell: 3.3999 3.3999 9.3138 Å, 90.00 90.00 90.00°
Fractional coordinates of all 4 atoms:
Tb: 0.0000 0.0000 0.1803
Tb: 0.0000 0.0000 0.8197
Ho: 0.5000 0.5000 0.5000
Os: 0.5000 0.5000 0.0000

Entry Q
A plane-wave DFT calculation with GGA-PBE was carried out for a geometry-optimized Tb2HoOs structure.

Computed properties:
D(E_F)	2.79	states/eV/f.u.
spin magnetization	0.00	μB per formula unit

Cell: 7.3941 9.1111 6.3405 Å, 90.00 90.00 90.00°
Fractional coordinates of all 16 atoms:
Tb: 0.1750 0.0630 0.1690
Tb: 0.1750 0.4370 0.1690
Tb: 0.3250 0.5630 0.6690
Tb: 0.3250 0.9370 0.6690
Tb: 0.6750 0.0630 0.3310
Tb: 0.6750 0.4370 0.3310
Tb: 0.8250 0.5630 0.8310
Tb: 0.8250 0.9370 0.8310
Ho: 0.0402 0.2500 0.6313
Ho: 0.4598 0.7500 0.1313
Ho: 0.5402 0.2500 0.8687
Ho: 0.9598 0.7500 0.3687
Os: 0.1164 0.7500 0.9626
Os: 0.3836 0.2500 0.4626
Os: 0.6164 0.7500 0.5374
Os: 0.8836 0.2500 0.0374

Entry R
A plane-wave DFT calculation with GGA-PBE was carried out for a geometry-optimized Tb2HoOs structure.

Computed properties:
D(E_F)	2.97	states/eV/f.u.
spin magnetization	0.00	μB per formula unit

Cell: 4.0029 11.8369 9.0147 Å, 90.00 90.00 90.00°
Fractional coordinates of all 16 atoms:
Tb: 0.0000 0.1439 0.0660
Tb: 0.0000 0.1439 0.4340
Tb: 0.0000 0.8561 0.5660
Tb: 0.0000 0.8561 0.9340
Tb: 0.5000 0.3561 0.5660
Tb: 0.5000 0.3561 0.9340
Tb: 0.5000 0.6439 0.0660
Tb: 0.5000 0.6439 0.4340
Ho: 0.0000 0.4240 0.2500
Ho: 0.0000 0.5760 0.7500
Ho: 0.5000 0.0760 0.7500
Ho: 0.5000 0.9240 0.2500
Os: 0.0000 0.2410 0.7500
Os: 0.0000 0.7590 0.2500
Os: 0.5000 0.2590 0.2500
Os: 0.5000 0.7410 0.7500

Entry S
A plane-wave DFT calculation with GGA-PBE was carried out for a geometry-optimized Tb2HoOs structure.

Computed properties:
D(E_F)	6.45	states/eV/f.u.
spin magnetization	0.39	μB per formula unit

Cell: 3.4548 3.4548 32.5246 Å, 90.00 90.00 120.00°
Fractional coordinates of all 12 atoms:
Tb: 0.0000 0.0000 0.1052
Tb: 0.0000 0.0000 0.8948
Tb: 0.3333 0.6667 0.5614
Tb: 0.3333 0.6667 0.7719
Tb: 0.6667 0.3333 0.2281
Tb: 0.6667 0.3333 0.4386
Ho: 0.0000 0.0000 0.0000
Ho: 0.3333 0.6667 0.6667
Ho: 0.6667 0.3333 0.3333
Os: 0.0000 0.0000 0.5000
Os: 0.3333 0.6667 0.1667
Os: 0.6667 0.3333 0.8333

entry Q takes first place; second place is 19 meV per atom up.

Entry P
A plane-wave DFT calculation with GGA-PBE was carried out for a geometry-optimized Ho2ThOs structure.

Computed properties:
D(E_F)	5.37	states/eV/f.u.
spin magnetization	0.00	μB per formula unit

Cell: 3.3624 3.3624 32.9735 Å, 90.00 90.00 120.00°
Fractional coordinates of all 12 atoms:
Ho: 0.0000 0.0000 0.1043
Ho: 0.0000 0.0000 0.8957
Ho: 0.3333 0.6667 0.5624
Ho: 0.3333 0.6667 0.7710
Ho: 0.6667 0.3333 0.2290
Ho: 0.6667 0.3333 0.4376
Th: 0.0000 0.0000 0.0000
Th: 0.3333 0.6667 0.6667
Th: 0.6667 0.3333 0.3333
Os: 0.0000 0.0000 0.5000
Os: 0.3333 0.6667 0.1667
Os: 0.6667 0.3333 0.8333

Entry Q
A plane-wave DFT calculation with GGA-PBE was carried out for a geometry-optimized Ho2ThOs structure.

Computed properties:
D(E_F)	5.03	states/eV/f.u.
spin magnetization	0.00	μB per formula unit

Cell: 3.9118 9.2664 6.3548 Å, 90.00 107.87 90.00°
Fractional coordinates of all 8 atoms:
Ho: 0.1460 0.0697 0.2917
Ho: 0.1460 0.4303 0.2917
Ho: 0.8540 0.5697 0.7083
Ho: 0.8540 0.9303 0.7083
Th: 0.4252 0.2500 0.8494
Th: 0.5748 0.7500 0.1506
Os: 0.2374 0.7500 0.4747
Os: 0.7626 0.2500 0.5253

entry Q takes first place; second place is 501 meV per atom up.

Entry P
A plane-wave DFT calculation with GGA-PBE was carried out for a geometry-optimized Ho3TlOs structure.

Computed properties:
D(E_F)	2.91	states/eV/f.u.
spin magnetization	0.00	μB per formula unit

Cell: 9.5032 8.8198 5.8177 Å, 78.01 65.21 36.79°
Fractional coordinates of all 10 atoms:
Ho: 0.1968 0.5750 0.4250
Ho: 0.2014 0.2014 0.7986
Ho: 0.4250 0.8032 0.1968
Ho: 0.5750 0.1968 0.8032
Ho: 0.7986 0.7986 0.2014
Ho: 0.8032 0.4250 0.5750
Tl: 0.2174 0.7826 0.7826
Tl: 0.7826 0.2174 0.2174
Os: 0.2500 0.2500 0.2500
Os: 0.7500 0.7500 0.7500

Entry Q
A plane-wave DFT calculation with GGA-PBE was carried out for a geometry-optimized Ho3TlOs structure.

Computed properties:
D(E_F)	3.53	states/eV/f.u.
spin magnetization	0.00	μB per formula unit

Cell: 7.1038 7.1038 8.5112 Å, 113.27 113.27 43.06°
Fractional coordinates of all 10 atoms:
Ho: 0.0677 0.0677 0.2272
Ho: 0.2273 0.2273 0.7370
Ho: 0.4066 0.4066 0.1358
Ho: 0.5934 0.5934 0.8642
Ho: 0.7727 0.7727 0.2630
Ho: 0.9323 0.9323 0.7728
Tl: 0.3699 0.3699 0.5016
Tl: 0.6301 0.6301 0.4984
Os: 0.1762 0.1762 0.0210
Os: 0.8238 0.8238 0.9790

entry P takes first place; second place is 93 meV per atom up.

Entry P
A plane-wave DFT calculation with GGA-PBE was carried out for a geometry-optimized Ho6Tl2Os structure.

Computed properties:
D(E_F)	8.26	states/eV/f.u.
spin magnetization	0.00	μB per formula unit

Cell: 8.6285 8.6285 8.6285 Å, 145.88 130.37 61.60°
Fractional coordinates of all 9 atoms:
Ho: 0.0839 0.3461 0.7379
Ho: 0.2219 0.0000 0.2219
Ho: 0.3918 0.6539 0.7379
Ho: 0.6082 0.3461 0.2621
Ho: 0.7781 0.0000 0.7781
Ho: 0.9161 0.6539 0.2621
Tl: 0.3341 0.8341 0.5000
Tl: 0.6659 0.1659 0.5000
Os: 0.0000 0.5000 0.5000

Entry Q
A plane-wave DFT calculation with GGA-PBE was carried out for a geometry-optimized Ho6Tl2Os structure.

Computed properties:
D(E_F)	10.07	states/eV/f.u.
spin magnetization	0.00	μB per formula unit

Cell: 3.9368 8.5049 8.5049 Å, 119.97 90.00 90.00°
Fractional coordinates of all 9 atoms:
Ho: 0.0000 0.0000 0.0000
Ho: 0.0000 0.5166 0.7578
Ho: 0.0000 0.7578 0.5166
Ho: 0.5000 0.1422 0.7579
Ho: 0.5000 0.3733 0.3733
Ho: 0.5000 0.7579 0.1422
Tl: 0.0000 0.0912 0.4248
Tl: 0.0000 0.4248 0.0912
Os: 0.5000 0.7587 0.7587

entry Q takes first place; second place is 160 meV per atom up.